{
  "formula": "ReH3Au",
  "functional": "meta-GGA SCAN",
  "state": "single point on PBEsol structure",
  "cell": [[3.5050, 0.0000, 0.0000], [0.0000, 3.5050, 0.0000], [0.0000, 0.0000, 3.5050]],
  "species": ["Re", "H", "H", "H", "Au"],
  "fractional_positions": [[0.0000, 0.0000, 0.0000], [0.0000, 0.5000, 0.5000], [0.5000, 0.0000, 0.5000], [0.5000, 0.5000, 0.0000], [0.5000, 0.5000, 0.5000]],
  "n_ef_per_ev_cell": 2.1
}



{
  "formula": "H2Rh2Au",
  "functional": "meta-GGA SCAN",
  "state": "single point on PBEsol structure",
  "cell": [[-1.5399, 1.5399, 5.2741], [1.5399, -1.5399, 5.2741], [1.5399, 1.5399, -5.2741]],
  "species": ["H", "H", "Rh", "Rh", "Au"],
  "fractional_positions": [[0.2500, 0.7500, 0.5000], [0.7500, 0.2500, 0.5000], [0.1582, 0.1582, 0.0000], [0.8418, 0.8418, 0.0000], [0.5000, 0.5000, 0.0000]],
  "n_ef_per_ev_cell": 4.3
}



{
  "formula": "HRuAu3",
  "functional": "meta-GGA SCAN",
  "state": "single point on PBEsol structure",
  "cell": [[4.0733, 0.0000, 0.0000], [0.0000, 4.0733, 0.0000], [0.0000, 0.0000, 4.0733]],
  "species": ["H", "Ru", "Au", "Au", "Au"],
  "fractional_positions": [[0.0000, 0.0000, 0.0000], [0.5000, 0.5000, 0.5000], [0.0000, 0.0000, 0.5000], [0.0000, 0.5000, 0.0000], [0.5000, 0.0000, 0.0000]],
  "n_ef_per_ev_cell": 2.9
}



{
  "formula": "HRuAu2",
  "functional": "meta-GGA SCAN",
  "state": "single point on PBEsol structure",
  "cell": [[0.0000, 3.0448, 3.0448], [3.0448, 0.0000, 3.0448], [3.0448, 3.0448, 0.0000]],
  "species": ["H", "Ru", "Au", "Au"],
  "fractional_positions": [[0.0000, 0.0000, 0.0000], [0.5000, 0.5000, 0.5000], [0.2500, 0.2500, 0.2500], [0.7500, 0.7500, 0.7500]],
  "n_ef_per_ev_cell": 3.4
}



| no. | total DFT energy (no corrections) (eV per atom) |
| --- | --- |
| 1 | -28.826 |
| 2 | -28.668 |
| 3 | -48.523 |
| 4 | -43.142 |